# Ac4AlGeI2 | the Alexandria database | PBE | relaxed
data_Ac4AlGeI2
_chemical_formula_sum 'Ac4 Al1 Ge1 I2'
_symmetry_space_group_name_H-M 'P 1'
_symmetry_Int_Tables_number 1
_cell_length_a 8.2240
_cell_length_b 4.6685
_cell_length_c 8.4595
_cell_angle_alpha 90.00
_cell_angle_beta 108.58
_cell_angle_gamma 90.00
loop_
_symmetry_equiv_pos_as_xyz
'x,y,z'
loop_
_atom_site_label
_atom_site_fract_x
_atom_site_fract_y
_atom_site_fract_z
Ac1 0.2320 0.0000 0.2050
Ac2 0.2583 0.5000 0.7893
Ac3 0.7417 0.5000 0.2107
Ac4 0.7680 0.0000 0.7950
Al1 0.5000 0.0000 0.0000
Ge1 0.0000 0.5000 0.0000
I1 0.0000 0.0000 0.5000
I2 0.5000 0.5000 0.5000
# Energy relative to the elements, uncorrected in kJ/mol of formula units: -608
# Symmetry: P2/m

***

# Ac3Al2InGe6 | the Alexandria database | PBE | relaxed
data_Ac3Al2InGe6
_chemical_formula_sum 'Ac3 Al2 In1 Ge6'
_symmetry_space_group_name_H-M 'P 1'
_symmetry_Int_Tables_number 1
_cell_length_a 6.4105
_cell_length_b 6.4105
_cell_length_c 8.8031
_cell_angle_alpha 90.00
_cell_angle_beta 90.00
_cell_angle_gamma 120.00
loop_
_symmetry_equiv_pos_as_xyz
'x,y,z'
loop_
_atom_site_label
_atom_site_fract_x
_atom_site_fract_y
_atom_site_fract_z
Ac1 0.0000 0.0000 0.0000
Ac2 0.3333 0.6667 0.6277
Ac3 0.6667 0.3333 0.3723
Al1 0.3333 0.6667 0.0173
Al2 0.6667 0.3333 0.9827
In1 0.0000 0.0000 0.5000
Ge1 0.1972 0.3944 0.2726
Ge2 0.1972 0.8028 0.2726
Ge3 0.3944 0.1972 0.7274
Ge4 0.6056 0.8028 0.2726
Ge5 0.8028 0.1972 0.7274
Ge6 0.8028 0.6056 0.7274
# Symmetry: P-3m1
# Energy of formation from the pure elements in kJ per mole of atoms: -32

***

> Number 1 is which compound?

Ac4AlGeI2

***

> Number 2 is which compound?

Ac3Al2InGe6